Material: ZnFeRu2
Method: DFT, PBE-GGA
State: relaxed

Summary:
calculated formation energy: 0.087 eV per atom
final energy: -27.94 eV for the cell shown

POSCAR file:
```
ZnFeRu2
1.0
2.713 0.000 0.000
0.000 3.793 0.000
0.000 0.000 5.245
Zn Fe Ru
1 1 2
direct
0.000 0.000 0.000
0.500 0.500 0.236
0.000 0.000 0.498
0.500 0.500 0.733
```



Material: Mo2HRu
Method: DFT, PBE-GGA
State: relaxed

Summary:
final energy: -30.46 eV for the cell shown

POSCAR file:
```
Mo2HRu
1.0
1.889 1.090 5.856
-1.889 1.090 5.856
0.000 -2.181 5.856
Mo H Ru
2 1 1
direct
0.101 0.101 0.101
0.899 0.899 0.899
0.000 0.000 0.000
0.500 0.500 0.500
```